Record 1
The following is a GGA-PBE calculation of InPb2Se after structural relaxation, from Alexandria.

Relative energy among the computed polymorphs = 0.2099 eV per atom
Energy relative to the elements, uncorrected = 0.058 eV/atom
Uncorrected energy = -13.4 eV per formula unit

Cell lengths 8.621, 8.621, 8.621 Å; angles 134.76, 134.76, 65.90 degrees
Fractional positions:
In  0.000  0.000  0.000
In  0.750  0.250  0.500
Pb  0.134  0.625  0.009
Pb  0.375  0.384  0.509
Pb  0.616  0.125  0.991
Pb  0.875  0.866  0.491
Se  0.250  0.750  0.500
Se  0.500  0.500  0.000

Record 2
The following is a GGA-PBE calculation of InPbSe2 after structural relaxation, from Alexandria.

Energy relative to the elements, uncorrected = -0.419 eV/atom
Uncorrected energy = -15.1 eV per formula unit

Cell lengths 6.547, 6.547, 4.331 Å; angles 90.05, 90.05, 37.33 degrees
Fractional positions:
In  0.000  0.000  0.000
Pb  0.731  0.731  0.502
Se  0.220  0.220  0.001
Se  0.486  0.486  0.500

Record 3
The following is a GGA-PBE calculation of In2PbSe after structural relaxation, from Alexandria.

Relative energy among the computed polymorphs = 0.0000 eV per atom
Energy relative to the elements, uncorrected = -0.170 eV/atom
Uncorrected energy = -13.3 eV per formula unit

Cell lengths 8.595, 8.595, 8.595 Å; angles 26.99, 26.99, 26.99 degrees
Fractional positions:
In  0.239  0.239  0.239
In  0.761  0.761  0.761
Pb  0.000  0.000  0.000
Se  0.500  0.500  0.500

Record 4
The following is a GGA-PBE calculation of In2SnPbSe6 after structural relaxation, from Alexandria.

Energy relative to the elements, uncorrected = -0.421 eV/atom
Uncorrected energy = -38.3 eV per formula unit

Cell lengths 9.765, 9.765, 7.508 Å; angles 105.56, 105.56, 94.09 degrees
Fractional positions:
In  0.017  0.188  0.140
In  0.188  0.017  0.640
In  0.812  0.983  0.360
In  0.983  0.812  0.860
Sn  0.327  0.673  0.250
Sn  0.673  0.327  0.750
Pb  0.406  0.594  0.750
Pb  0.594  0.406  0.250
Se  0.042  0.205  0.511
Se  0.125  0.605  0.922
Se  0.205  0.042  0.011
Se  0.300  0.428  0.314
Se  0.395  0.875  0.578
Se  0.428  0.300  0.814
Se  0.572  0.700  0.186
Se  0.605  0.125  0.422
Se  0.700  0.572  0.686
Se  0.795  0.958  0.989
Se  0.875  0.395  0.078
Se  0.958  0.795  0.489

Record 5
The following is a GGA-PBE calculation of In4SnPbSe8 after structural relaxation, from Alexandria.

Energy relative to the elements, uncorrected = -0.441 eV/atom
Uncorrected energy = -52.7 eV per formula unit

Cell lengths 8.532, 8.532, 8.532 Å; angles 58.23, 58.23, 58.23 degrees
Fractional positions:
In  0.000  0.000  0.000
In  0.380  0.380  0.881
In  0.380  0.881  0.380
In  0.881  0.380  0.380
Sn  0.756  0.756  0.756
Pb  0.384  0.384  0.384
Se  0.131  0.131  0.604
Se  0.131  0.604  0.131
Se  0.139  0.139  0.139
Se  0.154  0.638  0.638
Se  0.604  0.131  0.131
Se  0.615  0.615  0.615
Se  0.638  0.154  0.638
Se  0.638  0.638  0.154

Record 6
The following is a GGA-PBE calculation of In3SnPb2Se8 after structural relaxation, from Alexandria.

Energy relative to the elements, uncorrected = -0.430 eV/atom
Uncorrected energy = -53.5 eV per formula unit

Cell lengths 8.812, 8.812, 8.812 Å; angles 55.82, 55.82, 55.82 degrees
Fractional positions:
In  0.168  0.168  0.663
In  0.168  0.663  0.168
In  0.663  0.168  0.168
Sn  0.786  0.786  0.786
Pb  0.172  0.172  0.172
Pb  0.540  0.540  0.540
Se  0.390  0.914  0.914
Se  0.399  0.399  0.399
Se  0.419  0.419  0.952
Se  0.419  0.952  0.419
Se  0.914  0.390  0.914
Se  0.914  0.914  0.390
Se  0.936  0.936  0.936
Se  0.952  0.419  0.419

Record 7
The following is a GGA-PBE calculation of InSnPb2Se5 after structural relaxation, from Alexandria.

Energy relative to the elements, uncorrected = -0.466 eV/atom
Uncorrected energy = -35.8 eV per formula unit

Cell lengths 9.403, 9.403, 13.626 Å; angles 90.00, 90.00, 154.93 degrees
Fractional positions:
In  0.048  0.952  0.500
In  0.952  0.048  0.000
Sn  0.290  0.710  0.094
Sn  0.710  0.290  0.594
Pb  0.367  0.633  0.380
Pb  0.384  0.616  0.728
Pb  0.616  0.384  0.228
Pb  0.633  0.367  0.880
Se  0.017  0.983  0.834
Se  0.139  0.861  0.075
Se  0.189  0.811  0.448
Se  0.217  0.783  0.743
Se  0.457  0.543  0.121
Se  0.543  0.457  0.621
Se  0.783  0.217  0.243
Se  0.811  0.189  0.948
Se  0.861  0.139  0.575
Se  0.983  0.017  0.334

Record 8
The following is a GGA-PBE calculation of In2SnPbSe4 after structural relaxation, from Alexandria.

Energy relative to the elements, uncorrected = -0.430 eV/atom
Uncorrected energy = -30.6 eV per formula unit

Cell lengths 7.362, 4.233, 7.408 Å; angles 90.00, 108.70, 90.00 degrees
Fractional positions:
In  0.000  0.000  0.000
In  0.500  0.500  0.000
Sn  0.000  0.500  0.500
Pb  0.500  0.000  0.500
Se  0.241  0.500  0.241
Se  0.243  0.000  0.754
Se  0.757  0.000  0.246
Se  0.759  0.500  0.759